(1)
Material: Nd5Sm3Tm12
Method: DFT, PBE
State: optimized geometry

Cell: 16.2253 16.2253 16.2253 Å, 109.47 109.47 109.47°
Fractional positions:
Sm (0.7500, 0.3750, 0.1250)
Sm (0.8750, 0.7500, 0.1250)
Sm (0.3750, 0.7500, 0.6250)
Sm (0.2500, 0.1250, 0.3750)
Sm (0.8750, 0.1250, 0.2500)
Sm (0.3750, 0.6250, 0.2500)
Sm (0.6250, 0.3750, 0.7500)
Sm (0.1250, 0.8750, 0.7500)
Sm (0.7500, 0.8750, 0.6250)
Sm (0.6250, 0.2500, 0.3750)
Sm (0.1250, 0.2500, 0.8750)
Sm (0.2500, 0.6250, 0.8750)
Nd (0.1250, 0.3750, 0.2500)
Nd (0.0000, 0.5000, 0.0000)
Nd (0.0000, 0.0000, 0.0000)
Nd (0.3750, 0.2500, 0.1250)
Nd (0.5000, 0.0000, 0.5000)
Nd (0.5000, 0.5000, 0.0000)
Nd (0.1250, 0.7500, 0.3750)
Nd (0.7500, 0.1250, 0.8750)
Nd (0.7500, 0.6250, 0.3750)
Nd (0.3750, 0.1250, 0.7500)
Nd (0.6250, 0.8750, 0.2500)
Nd (0.5000, 0.5000, 0.5000)
Nd (0.5000, 0.0000, 0.0000)
Nd (0.0000, 0.0000, 0.5000)
Nd (0.2500, 0.3750, 0.6250)
Nd (0.2500, 0.8750, 0.1250)
Nd (0.0000, 0.5000, 0.5000)
Nd (0.8750, 0.2500, 0.6250)
Nd (0.6250, 0.7500, 0.8750)
Nd (0.8750, 0.6250, 0.7500)
Tm (0.7280, 0.1441, 0.0773)
Tm (0.3493, 0.5773, 0.4332)
Tm (0.9227, 0.3559, 0.2720)
Tm (0.5773, 0.2280, 0.1441)
Tm (0.5839, 0.7280, 0.6507)
Tm (0.9227, 0.5668, 0.1507)
Tm (0.3493, 0.7720, 0.4161)
Tm (0.0668, 0.9161, 0.1441)
Tm (0.5668, 0.9227, 0.6507)
Tm (0.7280, 0.5839, 0.1507)
Tm (0.7720, 0.4227, 0.3559)
Tm (0.8493, 0.9332, 0.0773)
Tm (0.1441, 0.7280, 0.5773)
Tm (0.3559, 0.4332, 0.0839)
Tm (0.0839, 0.9332, 0.3559)
Tm (0.4161, 0.1441, 0.5668)
Tm (0.0839, 0.1507, 0.2280)
Tm (0.4227, 0.6507, 0.0668)
Tm (0.8493, 0.9161, 0.2720)
Tm (0.1441, 0.4161, 0.0668)
Tm (0.3559, 0.9227, 0.7720)
Tm (0.5668, 0.6441, 0.4161)
Tm (0.9332, 0.8493, 0.5773)
Tm (0.7720, 0.3493, 0.9161)
Tm (0.4332, 0.3559, 0.5839)
Tm (0.0668, 0.1507, 0.4227)
Tm (0.2280, 0.6507, 0.0839)
Tm (0.1507, 0.0839, 0.7280)
Tm (0.6441, 0.0773, 0.2280)
Tm (0.8559, 0.5839, 0.9332)
Tm (0.5773, 0.3493, 0.9332)
Tm (0.5839, 0.8559, 0.4332)
Tm (0.9161, 0.8493, 0.7720)
Tm (0.9161, 0.0668, 0.6441)
Tm (0.8559, 0.2720, 0.4227)
Tm (0.1507, 0.0668, 0.9227)
Tm (0.6441, 0.5668, 0.9161)
Tm (0.4332, 0.0773, 0.3493)
Tm (0.2720, 0.4161, 0.8493)
Tm (0.2280, 0.5773, 0.6441)
Tm (0.9332, 0.0839, 0.8559)
Tm (0.6507, 0.2280, 0.5839)
Tm (0.4227, 0.7720, 0.8559)
Tm (0.0773, 0.4332, 0.8493)
Tm (0.4161, 0.2720, 0.3493)
Tm (0.0773, 0.6441, 0.7280)
Tm (0.6507, 0.4227, 0.5668)
Tm (0.2720, 0.8559, 0.9227)

Total moment   0.00 μB per atom
Final energy   -284.06 eV/cell
Space group   Ia-3d

---

(2)
Material: Nd5Sm6Tm2
Method: DFT, PBE
State: optimized geometry

Cell: 3.6343 11.7524 20.8399 Å, 90.00 90.00 90.00°
Fractional positions:
Nd (0.5000, 0.3027, 0.4459)
Nd (0.5000, 0.6973, 0.5541)
Nd (0.5000, 0.8027, 0.0541)
Nd (0.5000, 0.1973, 0.9459)
Nd (0.5000, 0.5865, 0.2731)
Nd (0.5000, 0.4135, 0.7269)
Nd (0.5000, 0.0865, 0.2269)
Nd (0.5000, 0.9135, 0.7731)
Nd (0.5000, 0.5000, 0.0000)
Nd (0.5000, 0.0000, 0.5000)
Sm (0.0000, 0.0823, 0.3679)
Sm (0.0000, 0.9177, 0.6321)
Sm (0.0000, 0.5823, 0.1321)
Sm (0.0000, 0.4177, 0.8679)
Sm (0.5000, 0.3264, 0.1392)
Sm (0.5000, 0.6736, 0.8608)
Sm (0.5000, 0.8264, 0.3608)
Sm (0.5000, 0.1736, 0.6392)
Sm (0.0000, 0.5631, 0.4192)
Sm (0.0000, 0.4369, 0.5808)
Sm (0.0000, 0.0631, 0.0808)
Sm (0.0000, 0.9369, 0.9192)
Tm (0.0000, 0.3303, 0.2894)
Tm (0.0000, 0.6697, 0.7106)
Tm (0.0000, 0.8303, 0.2106)
Tm (0.0000, 0.1697, 0.7894)

Total moment   0.00 μB per atom
Final energy   -119.78 eV/cell
Space group   Pbam

---

(3)
Material: Nd12Sm2Tm5
Method: DFT, PBE
State: optimized geometry

Cell: 9.3163 11.7754 8.9556 Å, 129.06 90.00 113.30°
Fractional positions:
Nd (0.0797, 0.1594, 0.2434)
Nd (0.0731, 0.7609, 0.0609)
Nd (0.6878, 0.7609, 0.0609)
Nd (0.0828, 0.6581, 0.3855)
Nd (0.5752, 0.6581, 0.3855)
Nd (0.4811, 0.9621, 0.6333)
Nd (0.5189, 0.0379, 0.3667)
Nd (0.9172, 0.3419, 0.6145)
Nd (0.4248, 0.3419, 0.6145)
Nd (0.9269, 0.2391, 0.9391)
Nd (0.3122, 0.2391, 0.9391)
Nd (0.9203, 0.8406, 0.7566)
Sm (0.6737, 0.0000, 0.0000)
Sm (0.3263, 0.0000, 0.0000)
Tm (0.3086, 0.6173, 0.6696)
Tm (0.2832, 0.5665, 0.0078)
Tm (0.0000, 0.0000, 0.5000)
Tm (0.7168, 0.4335, 0.9922)
Tm (0.6914, 0.3827, 0.3304)

Total moment   0.00 μB per atom
Final energy   -85.36 eV/cell
Space group   C2/m

---

(4)
Material: Nd3Sm5Tm2
Method: DFT, PBE
State: optimized geometry

Cell: 9.8384 9.7826 9.4079 Å, 108.47 108.72 112.86°
Fractional positions:
Nd (0.2706, 0.0207, 0.0413)
Nd (0.7294, 0.9793, 0.9587)
Nd (0.5194, 0.4686, 0.2484)
Nd (0.4806, 0.5314, 0.7516)
Nd (0.2290, 0.7798, 0.2484)
Nd (0.7710, 0.2202, 0.7516)
Sm (0.2276, 0.4775, 0.9551)
Sm (0.7724, 0.5225, 0.0449)
Sm (0.9719, 0.7219, 0.4438)
Sm (0.4778, 0.2278, 0.4556)
Sm (0.0281, 0.2781, 0.5562)
Sm (0.5222, 0.7722, 0.5444)
Sm (0.8865, 0.6110, 0.7403)
Sm (0.1135, 0.3890, 0.2597)
Sm (0.3538, 0.1294, 0.7403)
Sm (0.6462, 0.8706, 0.2597)
Tm (0.9653, 0.0149, 0.7430)
Tm (0.0347, 0.9851, 0.2570)
Tm (0.2777, 0.7281, 0.7430)
Tm (0.7223, 0.2719, 0.2570)

Total moment   0.00 μB per atom
Final energy   -90.02 eV/cell
Space group   C2/c

---

(5)
Material: Nd2SmTm2
Method: DFT, PBE
State: optimized geometry

Cell: 3.6073 3.6051 16.3603 Å, 63.93 83.67 59.98°
Fractional positions:
Nd (0.2378, 0.4180, 0.1063)
Nd (0.7622, 0.5820, 0.8937)
Sm (0.5000, 0.5000, 0.5000)
Tm (0.2976, 0.7090, 0.6959)
Tm (0.7024, 0.2910, 0.3041)

Total moment   0.00 μB per atom
Final energy   -23.16 eV/cell
Space group   C2/m

---

(6)
Material: Nd3Sm5Tm3
Method: DFT, PBE
State: optimized geometry

Cell: 3.5934 11.6813 10.7491 Å, 117.24 90.00 107.90°
Fractional positions:
Nd (0.0331, 0.5331, 0.9012)
Nd (0.0182, 0.0180, 0.6508)
Nd (0.9586, 0.4586, 0.3644)
Sm (0.6791, 0.6792, 0.2646)
Sm (0.3209, 0.3209, 0.5800)
Sm (0.3158, 0.3157, 0.0106)
Sm (0.6862, 0.6868, 0.6882)
Sm (0.4973, 0.9973, 0.3614)
Tm (0.8295, 0.8292, 0.0490)
Tm (0.1626, 0.1626, 0.2165)
Tm (0.4987, 0.9987, 0.9134)

Total moment   0.00 μB per atom
Final energy   -50.10 eV/cell
Space group   Pm

---

no.,ρ (g cm⁻³)
1,6.46
2,7.32
3,7.28
4,7.42
5,7.87
6,7.46